# 1
Below is a geometry-optimized MgSiTe2 structure, with properties calculated at the GGA-PBEsol level.

abc: 7.188 7.188 7.188
angles: 90.00 90.00 90.00
Space group Fm-3m (No. 225)
Unique sites:
Mg  0.000  0.000  0.000 (multiplicity 4)
Si  0.000  0.000  0.500 (multiplicity 4)
Te  0.250  0.250  0.250 (multiplicity 8)

Calculated values
raw formation energy	48	meV per atom
uncorrected energy	-57.30	eV/cell
calculated density	5.501	g cm⁻³
N(E_F)	8.146	states/eV per cell
polymorph energy (0 for the lowest one)	19	meV per atom

---

# 2
Below is a geometry-optimized ReAsSBr2 structure, with properties calculated at the GGA-PBEsol level.

abc: 4.848 4.848 4.856
angles: 90.00 90.00 90.00
Space group P4/mmm (No. 123)
Unique sites:
Re  0.000  0.000  0.000 (multiplicity 1)
As  0.000  0.000  0.500 (multiplicity 1)
S  0.500  0.500  0.500 (multiplicity 1)
Br  0.000  0.500  0.000 (multiplicity 2)

Calculated values
raw formation energy	818	meV per atom
uncorrected energy	-22.47	eV/cell
calculated density	6.591	g cm⁻³
N(E_F)	5.683	states/eV per cell

---

# 3
Below is a geometry-optimized MgSb2Pb structure, with properties calculated at the GGA-PBEsol level.

abc: 3.348 5.320 6.138
angles: 90.00 90.00 90.00
Space group Pmm2 (No. 25)
Unique sites:
Mg  0.000  0.000  0.000 (multiplicity 1)
Sb  0.000  0.000  0.500 (multiplicity 1)
Sb  0.500  0.500  0.997 (multiplicity 1)
Pb  0.500  0.500  0.496 (multiplicity 1)

Calculated values
raw formation energy	-73	meV per atom
uncorrected energy	-15.12	eV/cell
calculated density	7.216	g cm⁻³
N(E_F)	1.142	states/eV per cell
polymorph energy (0 for the lowest one)	0	meV per atom

---

# 4
Below is a geometry-optimized BePtAu2 structure, with properties calculated at the GGA-PBEsol level.

abc: 3.697 3.697 18.649
angles: 90.00 90.00 90.00
Space group I-42d (No. 122)
Unique sites:
Be  0.000  0.000  0.000 (multiplicity 4)
Pt  0.000  0.000  0.500 (multiplicity 4)
Au  0.246  0.250  0.125 (multiplicity 8)

Calculated values
uncorrected energy	-72.39	eV/cell
calculated density	15.582	g cm⁻³
N(E_F)	5.089	states/eV per cell
DFT formation energy	0.179	eV per atom